# 1
{"formula": "GaPd3Pt", "functional": "PBE-GGA", "state": "relaxed", "lattice_angstrom": [[4.5525, 0.0000, 0.0000], [0.0000, 4.5525, 0.0000], [0.0000, 0.0000, 4.5525]], "species": ["Ga", "Pd", "Pd", "Pd", "Pt"], "frac_coords": [[0.0000, 0.0000, 0.0000], [0.0000, 0.0000, 0.5000], [0.0000, 0.5000, 0.0000], [0.5000, 0.0000, 0.0000], [0.5000, 0.5000, 0.5000]], "dft_energy_ev_per_cell": -22.16}

***

# 2
{"formula": "GaPd4Pt5", "functional": "PBE-GGA", "state": "relaxed", "lattice_angstrom": [[6.8642, -2.0125, 0.0000], [6.8642, 2.0125, 0.0000], [-3.1078, 0.0000, 5.9300]], "species": ["Ga", "Pd", "Pd", "Pd", "Pd", "Pt", "Pt", "Pt", "Pt", "Pt"], "frac_coords": [[0.0000, 0.0000, 0.0000], [0.1741, 0.1741, 0.4006], [0.4827, 0.4827, 0.7723], [0.5173, 0.5173, 0.2277], [0.8259, 0.8259, 0.5994], [0.0000, 0.0000, 0.5000], [0.3011, 0.3011, 0.8789], [0.3464, 0.3464, 0.3119], [0.6536, 0.6536, 0.6881], [0.6989, 0.6989, 0.1211]], "dft_energy_ev_per_cell": -54.44}

***

| no. | N(E_F) (states/eV/atom) | energy of formation from the pure elements (eV/atom) |
| --- | --- | --- |
| 1 | 1.00 | 0.498 |
| 2 | 1.31 | -0.044 |